Version one
! La2Sm5Ho12 GGA-PBE relaxed; values from VASP
! Size of the total moment (μB per atom): 0.00
&SYSTEM
  ibrav = 0, nat = 19, ntyp = 3
/
ATOMIC_SPECIES
La 138.91 La.upf
Sm 150.36 Sm.upf
Ho 164.93 Ho.upf
ATOMIC_POSITIONS crystal
La 0.9202 0.1917 0.1174
La 0.0798 0.8083 0.8826
Sm 0.6086 0.7479 0.7615
Sm 0.4130 0.7753 0.3147
Sm 0.0000 0.0000 0.5000
Sm 0.5870 0.2247 0.6853
Sm 0.3914 0.2521 0.2385
Ho 0.8673 0.0309 0.2816
Ho 0.9284 0.6426 0.0570
Ho 0.5194 0.6140 0.9278
Ho 0.2860 0.6111 0.4773
Ho 0.8483 0.5907 0.3578
Ho 0.6119 0.0303 0.8062
Ho 0.3881 0.9697 0.1938
Ho 0.7140 0.3889 0.5227
Ho 0.1517 0.4093 0.6422
Ho 0.0716 0.3574 0.9430
Ho 0.4806 0.3860 0.0722
Ho 0.1327 0.9691 0.7184
CELL_PARAMETERS angstrom
-6.2471 2.3267 1.2046
5.0738 -8.9034 8.1224
-0.7306 12.3524 -1.2692

---

Version two
! La2Sm5Ho12 GGA-PBE relaxed; values from VASP
! Size of the total moment (μB per atom): 0.00
&SYSTEM
  ibrav = 0, nat = 19, ntyp = 3
/
ATOMIC_SPECIES
La 138.91 La.upf
Sm 150.36 Sm.upf
Ho 164.93 Ho.upf
ATOMIC_POSITIONS crystal
La 0.6830 0.0000 0.0000
La 0.3170 0.0000 0.0000
Sm 0.2989 0.5979 0.6099
Sm 0.2308 0.4616 0.8871
Sm 0.0000 0.0000 0.5000
Sm 0.7692 0.5384 0.1129
Sm 0.7011 0.4021 0.3901
Ho 0.0873 0.1746 0.2943
Ho 0.0250 0.6928 0.9367
Ho 0.6678 0.6928 0.9367
Ho 0.1838 0.7460 0.4002
Ho 0.5623 0.7460 0.4002
Ho 0.5583 0.1167 0.7856
Ho 0.4417 0.8833 0.2144
Ho 0.8162 0.2540 0.5998
Ho 0.4377 0.2540 0.5998
Ho 0.9750 0.3072 0.0633
Ho 0.3322 0.3072 0.0633
Ho 0.9127 0.8254 0.7057
CELL_PARAMETERS angstrom
-8.2300 3.0285 3.1120
6.6648 -5.3949 8.9639
1.0264 7.3248 -4.4140

---

The structure with the greatest stability is version one.

---

Version one
! LaSm6Ho12 GGA-PBE relaxed; values from VASP
! Size of the total moment (μB per atom): 0.00
&SYSTEM
  ibrav = 0, nat = 19, ntyp = 3
/
ATOMIC_SPECIES
La 138.91 La.upf
Sm 150.36 Sm.upf
Ho 164.93 Ho.upf
ATOMIC_POSITIONS crystal
La 0.0000 0.0000 0.0000
Sm 0.4218 0.4759 0.2092
Sm 0.0541 0.6851 0.5241
Sm 0.3690 0.7908 0.6851
Sm 0.5782 0.5241 0.7908
Sm 0.9459 0.3149 0.4759
Sm 0.6310 0.2092 0.3149
Ho 0.5247 0.8412 0.2639
Ho 0.6834 0.8948 0.8412
Ho 0.7886 0.2639 0.8948
Ho 0.4753 0.1588 0.7361
Ho 0.3166 0.1052 0.1588
Ho 0.2114 0.7361 0.1052
Ho 0.2636 0.4217 0.6306
Ho 0.1058 0.3694 0.0523
Ho 0.1581 0.0523 0.5783
Ho 0.7364 0.5783 0.3694
Ho 0.8942 0.6306 0.9477
Ho 0.8419 0.9477 0.4217
CELL_PARAMETERS angstrom
-6.0460 -6.1013 -1.6212
-1.8630 3.7738 8.4554
-8.4595 4.2003 0.0305

---

Version two
! LaSm6Ho12 GGA-PBE relaxed; values from VASP
! Size of the total moment (μB per atom): 0.00
&SYSTEM
  ibrav = 0, nat = 19, ntyp = 3
/
ATOMIC_SPECIES
La 138.91 La.upf
Sm 150.36 Sm.upf
Ho 164.93 Ho.upf
ATOMIC_POSITIONS crystal
La 0.0000 0.0000 0.0000
Sm 0.7257 0.8581 0.2518
Sm 0.7482 0.2743 0.1419
Sm 0.1419 0.7482 0.2743
Sm 0.2743 0.1419 0.7482
Sm 0.2518 0.7257 0.8581
Sm 0.8581 0.2518 0.7257
Ho 0.7924 0.5265 0.4682
Ho 0.4682 0.7924 0.5265
Ho 0.5265 0.4682 0.7924
Ho 0.2076 0.4735 0.5317
Ho 0.5317 0.2076 0.4735
Ho 0.4735 0.5317 0.2076
Ho 0.0710 0.1415 0.3841
Ho 0.8585 0.6159 0.9290
Ho 0.6159 0.9290 0.8585
Ho 0.9290 0.8585 0.6159
Ho 0.1415 0.3841 0.0710
Ho 0.3841 0.0710 0.1415
CELL_PARAMETERS angstrom
-6.4281 -5.3462 -1.8090
5.1022 -3.9655 -5.6051
2.6908 -5.1007 6.3180

---

The structure with the greatest stability is version one.

---

Version one
! La5Sm2Ho2 GGA-PBE relaxed; values from VASP
! Size of the total moment (μB per atom): 0.00
&SYSTEM
  ibrav = 0, nat = 18, ntyp = 3
/
ATOMIC_SPECIES
La 138.91 La.upf
Sm 150.36 Sm.upf
Ho 164.93 Ho.upf
ATOMIC_POSITIONS crystal
La 0.1789 0.6675 0.8993
La 0.8211 0.7682 0.1007
La 0.2204 0.1675 0.8993
La 0.7796 0.2682 0.1007
La 0.3701 0.0227 0.2891
La 0.6299 0.7335 0.7109
La 0.4191 0.5227 0.2891
La 0.5809 0.2335 0.7109
La 0.9963 0.6414 0.5000
La 0.0037 0.1414 0.5000
Sm 0.0000 0.0740 0.0000
Sm 0.5000 0.5740 0.0000
Sm 0.2544 0.3498 0.5000
Sm 0.7456 0.8498 0.5000
Ho 0.1363 0.6685 0.2581
Ho 0.8637 0.4104 0.7419
Ho 0.6218 0.1685 0.2581
Ho 0.3782 0.9104 0.7419
CELL_PARAMETERS angstrom
-7.5924 -1.0303 9.0169
5.0555 -2.7731 3.9399
3.1752 8.7744 -4.0876

---

Version two
! La5Sm2Ho2 GGA-PBE relaxed; values from VASP
! Size of the total moment (μB per atom): 0.00
&SYSTEM
  ibrav = 0, nat = 9, ntyp = 3
/
ATOMIC_SPECIES
La 138.91 La.upf
Sm 150.36 Sm.upf
Ho 164.93 Ho.upf
ATOMIC_POSITIONS crystal
La 0.4453 0.6654 0.1109
La 0.5547 0.3346 0.8891
La 0.2210 0.3327 0.5540
La 0.7790 0.6673 0.4460
La 0.0000 0.0000 0.0000
Sm 0.6682 0.9990 0.6676
Sm 0.3318 0.0010 0.3324
Ho 0.1079 0.6682 0.7761
Ho 0.8921 0.3318 0.2239
CELL_PARAMETERS angstrom
5.7173 -0.8109 -2.7308
-3.2690 5.2453 1.6239
-4.0160 2.5532 13.4474

---

The structure with the greatest stability is version two.

---

Version one
! La3Sm4Ho4 GGA-PBE relaxed; values from VASP
! Size of the total moment (μB per atom): 0.00
&SYSTEM
  ibrav = 0, nat = 11, ntyp = 3
/
ATOMIC_SPECIES
La 138.91 La.upf
Sm 150.36 Sm.upf
Ho 164.93 Ho.upf
ATOMIC_POSITIONS crystal
La 0.4115 0.8230 0.2876
La 0.4115 0.8230 0.7124
La 0.2528 0.5055 0.0000
Sm 0.7481 0.4962 0.7837
Sm 0.7481 0.4962 0.2163
Sm 0.8855 0.7711 0.5000
Sm 0.9559 0.9118 0.0000
Ho 0.6136 0.2271 0.5000
Ho 0.5579 0.1159 0.0000
Ho 0.1068 0.2136 0.6953
Ho 0.1068 0.2136 0.3047
CELL_PARAMETERS angstrom
-1.8553 5.3402 1.1913
-3.8406 -3.5058 -4.2753
-5.7454 -3.8522 8.3201

---

Version two
! La3Sm4Ho4 GGA-PBE relaxed; values from VASP
! Size of the total moment (μB per atom): 0.00
&SYSTEM
  ibrav = 0, nat = 11, ntyp = 3
/
ATOMIC_SPECIES
La 138.91 La.upf
Sm 150.36 Sm.upf
Ho 164.93 Ho.upf
ATOMIC_POSITIONS crystal
La 0.8906 0.1094 0.1094
La 0.1094 0.8906 0.8906
La 0.0000 0.5000 0.5000
Sm 0.6476 0.1734 0.5313
Sm 0.3524 0.4687 0.8266
Sm 0.3524 0.8266 0.4687
Sm 0.6476 0.5313 0.1734
Ho 0.7422 0.7578 0.7578
Ho 0.2578 0.2422 0.2422
Ho 0.5000 0.8177 0.1823
Ho 0.5000 0.1823 0.8177
CELL_PARAMETERS angstrom
-3.4704 -0.9910 0.4157
1.5926 -12.0692 0.3994
1.4806 -8.0672 9.0050

---

The structure with the greatest stability is version two.

---

Version one
! LaSm3Ho3 GGA-PBE relaxed; values from VASP
! Size of the total moment (μB per atom): 0.00
&SYSTEM
  ibrav = 0, nat = 14, ntyp = 3
/
ATOMIC_SPECIES
La 138.91 La.upf
Sm 150.36 Sm.upf
Ho 164.93 Ho.upf
ATOMIC_POSITIONS crystal
La 0.3474 0.3474 0.3474
La 0.6526 0.6526 0.6526
Sm 0.7242 0.5686 0.0679
Sm 0.0679 0.7242 0.5686
Sm 0.5686 0.0679 0.7242
Sm 0.4314 0.9321 0.2758
Sm 0.9321 0.2758 0.4314
Sm 0.2758 0.4314 0.9321
Ho 0.7158 0.1713 0.9360
Ho 0.1713 0.9360 0.7158
Ho 0.9360 0.7158 0.1713
Ho 0.0640 0.2842 0.8287
Ho 0.8287 0.0640 0.2842
Ho 0.2842 0.8287 0.0640
CELL_PARAMETERS angstrom
8.0806 0.7902 3.7441
2.7025 7.6562 3.7441
1.0088 0.7902 8.8486

---

Version two
! LaSm3Ho3 GGA-PBE relaxed; values from VASP
! Size of the total moment (μB per atom): 0.00
&SYSTEM
  ibrav = 0, nat = 14, ntyp = 3
/
ATOMIC_SPECIES
La 138.91 La.upf
Sm 150.36 Sm.upf
Ho 164.93 Ho.upf
ATOMIC_POSITIONS crystal
La 0.2500 0.6667 0.3333
La 0.7500 0.3333 0.6667
Sm 0.7500 0.6202 0.5249
Sm 0.7500 0.4751 0.0953
Sm 0.7500 0.9047 0.3798
Sm 0.2500 0.3798 0.4751
Sm 0.2500 0.5249 0.9047
Sm 0.2500 0.0953 0.6202
Ho 0.2500 0.8135 0.7674
Ho 0.2500 0.2326 0.0461
Ho 0.2500 0.9539 0.1865
Ho 0.7500 0.1865 0.2326
Ho 0.7500 0.7674 0.9539
Ho 0.7500 0.0461 0.8135
CELL_PARAMETERS angstrom
5.7768 0.0000 0.0000
0.0000 9.6628 0.0000
0.0000 -4.8314 8.3683

---

The structure with the greatest stability is version two.

---

Version one
! La3SmHo GGA-PBE relaxed; values from VASP
! Size of the total moment (μB per atom): 0.00
&SYSTEM
  ibrav = 0, nat = 10, ntyp = 3
/
ATOMIC_SPECIES
La 138.91 La.upf
Sm 150.36 Sm.upf
Ho 164.93 Ho.upf
ATOMIC_POSITIONS crystal
La 0.8006 0.8006 0.2502
La 0.1992 0.6013 0.7500
La 0.1994 0.1994 0.7498
La 0.6013 0.1992 0.7500
La 0.8008 0.3987 0.2500
La 0.3987 0.8008 0.2500
Sm 0.0000 0.0000 0.5000
Sm 0.0000 0.0000 0.0000
Ho 0.3335 0.3335 0.2500
Ho 0.6665 0.6665 0.7500
CELL_PARAMETERS angstrom
3.9565 6.7814 -1.0030
-3.9565 6.7814 -1.0030
0.0000 0.9808 6.6117

---

Version two
! La3SmHo GGA-PBE relaxed; values from VASP
! Size of the total moment (μB per atom): 0.00
&SYSTEM
  ibrav = 0, nat = 20, ntyp = 3
/
ATOMIC_SPECIES
La 138.91 La.upf
Sm 150.36 Sm.upf
Ho 164.93 Ho.upf
ATOMIC_POSITIONS crystal
La 0.1513 0.7378 0.8626
La 0.3487 0.1374 0.2622
La 0.8487 0.2622 0.1374
La 0.6513 0.8626 0.7378
La 0.3477 0.3886 0.0121
La 0.1523 0.9879 0.6114
La 0.6523 0.6114 0.9879
La 0.8477 0.0121 0.3886
La 0.0619 0.4135 0.7806
La 0.4381 0.2194 0.5865
La 0.9381 0.5865 0.2194
La 0.5619 0.7806 0.4135
Sm 0.7500 0.9347 0.0653
Sm 0.2500 0.0653 0.9347
Sm 0.7500 0.1916 0.8084
Sm 0.2500 0.8084 0.1916
Ho 0.5599 0.5299 0.6671
Ho 0.9401 0.3329 0.4701
Ho 0.4401 0.4701 0.3329
Ho 0.0599 0.6671 0.5299
CELL_PARAMETERS angstrom
0.0077 -4.6518 4.8706
-2.4499 -8.5555 -5.3923
9.6219 -3.8533 -0.9204

---

The structure with the greatest stability is version two.

---

Version one
! La2Sm6Ho3 GGA-PBE relaxed; values from VASP
! Size of the total moment (μB per atom): 0.00
&SYSTEM
  ibrav = 0, nat = 11, ntyp = 3
/
ATOMIC_SPECIES
La 138.91 La.upf
Sm 150.36 Sm.upf
Ho 164.93 Ho.upf
ATOMIC_POSITIONS crystal
La 0.4545 0.4545 0.9090
La 0.5455 0.5455 0.0910
Sm 0.1236 0.6236 0.2472
Sm 0.6236 0.1236 0.2472
Sm 0.8764 0.3764 0.7528
Sm 0.3764 0.8764 0.7528
Sm 0.6988 0.6988 0.3976
Sm 0.3012 0.3012 0.6024
Ho 0.0000 0.0000 0.0000
Ho 0.7995 0.7995 0.5989
Ho 0.2005 0.2005 0.4011
CELL_PARAMETERS angstrom
4.7974 0.0000 0.0000
0.0000 4.7974 0.0000
-2.3987 -2.3987 17.0650

---

Version two
! La2Sm6Ho3 GGA-PBE relaxed; values from VASP
! Size of the total moment (μB per atom): 0.00
&SYSTEM
  ibrav = 0, nat = 11, ntyp = 3
/
ATOMIC_SPECIES
La 138.91 La.upf
Sm 150.36 Sm.upf
Ho 164.93 Ho.upf
ATOMIC_POSITIONS crystal
La 0.1671 0.6658 0.5000
La 0.8329 0.3342 0.5000
Sm 0.4151 0.6669 0.7555
Sm 0.7486 0.0000 0.7554
Sm 0.0819 0.3331 0.7555
Sm 0.2514 0.0000 0.2446
Sm 0.5849 0.3331 0.2445
Sm 0.9181 0.6669 0.2445
Ho 0.0000 0.0000 0.0000
Ho 0.3347 0.3306 0.0000
Ho 0.6653 0.6694 0.0000
CELL_PARAMETERS angstrom
5.9341 0.0000 1.7775
2.9670 5.3705 0.8888
-1.3541 0.0000 11.8320

---

The structure with the greatest stability is version two.

---

Version one
! La2Sm5Ho2 GGA-PBE relaxed; values from VASP
! Size of the total moment (μB per atom): 0.00
&SYSTEM
  ibrav = 0, nat = 18, ntyp = 3
/
ATOMIC_SPECIES
La 138.91 La.upf
Sm 150.36 Sm.upf
Ho 164.93 Ho.upf
ATOMIC_POSITIONS crystal
La 0.1295 0.6882 0.2523
La 0.8705 0.4358 0.7477
La 0.6228 0.1882 0.2523
La 0.3772 0.9358 0.7477
Sm 0.1981 0.6536 0.8940
Sm 0.8019 0.7597 0.1061
Sm 0.1958 0.1536 0.8940
Sm 0.8042 0.2597 0.1060
Sm 0.3770 0.0232 0.2866
Sm 0.6230 0.7366 0.7134
Sm 0.4096 0.5232 0.2866
Sm 0.5904 0.2366 0.7134
Sm 0.0098 0.6618 0.5000
Sm 0.9902 0.1618 0.5000
Ho 0.0000 0.0278 0.0000
Ho 0.5000 0.5278 0.0000
Ho 0.2580 0.3493 0.5000
Ho 0.7420 0.8493 0.5000
CELL_PARAMETERS angstrom
12.0183 0.0000 0.0000
0.0000 6.8414 0.0000
-6.0092 -3.4207 7.5233

---

Version two
! La2Sm5Ho2 GGA-PBE relaxed; values from VASP
! Size of the total moment (μB per atom): 0.00
&SYSTEM
  ibrav = 0, nat = 9, ntyp = 3
/
ATOMIC_SPECIES
La 138.91 La.upf
Sm 150.36 Sm.upf
Ho 164.93 Ho.upf
ATOMIC_POSITIONS crystal
La 0.4782 0.8830 0.3901
La 0.5218 0.1170 0.6099
Sm 0.3308 0.6526 0.0791
Sm 0.6692 0.3474 0.9209
Sm 0.1190 0.2511 0.3819
Sm 0.8810 0.7489 0.6181
Sm 0.0000 0.0000 0.0000
Ho 0.2133 0.4425 0.7420
Ho 0.7867 0.5575 0.2580
CELL_PARAMETERS angstrom
6.4980 -1.4621 -0.9662
-5.5994 10.2927 2.1150
-1.5101 1.6772 5.6824

---

The structure with the greatest stability is version two.

---

Version one
! La6Sm5Ho GGA-PBE relaxed; values from VASP
! Size of the total moment (μB per atom): 0.00
&SYSTEM
  ibrav = 0, nat = 12, ntyp = 3
/
ATOMIC_SPECIES
Ho 164.93 Ho.upf
Sm 150.36 Sm.upf
La 138.91 La.upf
ATOMIC_POSITIONS crystal
Ho 0.0000 0.0000 0.0000
Sm 0.6670 0.1665 0.6673
Sm 0.3345 0.3333 0.3334
Sm 0.0000 0.5000 0.0000
Sm 0.6655 0.6667 0.6666
Sm 0.3330 0.8335 0.3327
La 0.8344 0.5846 0.3322
La 0.8344 0.0835 0.3322
La 0.5002 0.7514 0.9999
La 0.4998 0.2486 0.0001
La 0.1656 0.9165 0.6678
La 0.1656 0.4154 0.6678
CELL_PARAMETERS angstrom
6.3247 -0.0151 0.0904
-0.0146 6.8581 2.8117
0.0440 0.0153 9.7351

---

Version two
! La6Sm5Ho GGA-PBE relaxed; values from VASP
! Size of the total moment (μB per atom): 0.00
&SYSTEM
  ibrav = 0, nat = 12, ntyp = 3
/
ATOMIC_SPECIES
La 138.91 La.upf
Sm 150.36 Sm.upf
Ho 164.93 Ho.upf
ATOMIC_POSITIONS crystal
La 0.7542 0.0825 0.3279
La 0.2458 0.5896 0.3279
La 0.2552 0.2446 0.0000
La 0.7448 0.7554 0.0000
La 0.7542 0.4104 0.6721
La 0.2458 0.9175 0.6721
Sm 0.5000 0.1687 0.6626
Sm 0.0000 0.3326 0.3348
Sm 0.5000 0.5000 0.0000
Sm 0.0000 0.6674 0.6652
Sm 0.5000 0.8313 0.3374
Ho 0.0000 0.0000 0.0000
CELL_PARAMETERS angstrom
-3.9216 -4.2878 -1.7159
-6.1086 -5.2106 5.5693
-9.4988 3.7413 1.6540

---

The structure with the greatest stability is version one.